VASP calculation (PBE-GGA) on a relaxed La5Tb3Er2 crystal.

## Properties
The volume comes out at 698.1 Å³ per cell. The value obtained for the total magnetization is 0.00 μB per formula unit. Its energy relative to the elements is 157 meV per atom. As for the density of states at the Fermi level: 34.371 states/eV/cell.

Cell and atoms, written as extended XYZ:
```
20
Lattice="9.5979 -2.1489 -2.6667 -3.3931 9.1563 -2.8922 -0.6689 -0.5796 9.1817" Properties=species:S:1:pos:R:3 pbc="T T T"
La 5.6165 3.1041 -3.1446
La 5.7532 3.4952 2.8017
Tb 2.4912 -0.4270 -0.4254
Er -3.1845 8.6336 -0.6432
La 2.0445 5.6529 1.4167
Tb 2.2197 3.3988 4.1126
Tb -0.7001 6.5071 -0.5517
La -0.0806 3.3236 6.7674
Er -0.2284 5.5689 4.1165
La 2.7906 6.5521 -1.9753
Er 5.7644 0.8589 -0.4937
La 2.7453 -0.1244 5.5981
La 3.4914 0.7748 2.2061
La 6.6330 4.3255 -0.4702
La -1.0971 2.1022 4.0930
Tb 3.3162 3.0290 -0.4897
Er 8.7204 -2.2059 4.2660
Tb 6.2360 -0.0794 4.1745
Tb 3.0447 6.8548 4.0482
La -0.2173 2.9325 0.8212
```



VASP calculation (PBE-GGA) on a relaxed La4Tb2Er5 crystal.

## Properties
The volume comes out at 376.6 Å³ per cell. The value obtained for the total magnetization is 0.00 μB per formula unit. Its energy relative to the elements is 216 meV per atom. As for the density of states at the Fermi level: 16.781 states/eV/cell.

Cell and atoms, written as extended XYZ:
```
11
Lattice="3.5514 0.0000 0.0000 0.0000 8.7952 0.1476 -1.7757 -2.4835 12.0164" Properties=species:S:1:pos:R:3 pbc="T T T"
La 0.0000 5.9618 0.8068
La 1.7757 4.0643 3.2001
La 0.0000 2.2474 8.9639
Tb 0.0000 1.0769 2.5023
Er 1.7757 0.0000 0.0000
Er 0.0000 1.7273 5.5998
Tb 1.7757 5.2348 9.6617
Er 1.7757 4.5844 6.5642
Er 0.0000 7.0186 4.6577
Er 1.7757 -0.7069 7.5063
La 1.7757 0.3499 11.3573
```



VASP calculation (PBE-GGA) on a relaxed La5Tb2Er crystal.

## Properties
The volume comes out at 571.6 Å³ per cell. The value obtained for the total magnetization is 0.00 μB per formula unit. Its energy relative to the elements is 114 meV per atom. As for the density of states at the Fermi level: 22.664 states/eV/cell.

Cell and atoms, written as extended XYZ:
```
16
Lattice="-1.0095 -1.6670 -5.3376 0.7315 -4.9717 4.4389 -16.2868 0.2768 2.9939" Properties=species:S:1:pos:R:3 pbc="T T T"
Tb -13.9668 -2.3809 3.3852
La -15.0761 -5.4918 1.5420
La -9.4542 -2.0047 -0.6104
La -0.6828 -4.4664 1.5240
Er -12.6071 -3.5132 0.4571
La -6.5847 -0.7834 1.4900
Tb -10.2588 -2.4439 2.7035
Er -3.9577 -2.8486 1.6382
La -4.5621 -1.1314 -1.8084
La -12.0027 -5.2304 3.9036
La -9.9802 -5.5784 0.6052
La -1.4887 -0.8700 0.5533
Tb -2.5980 -3.9809 -1.2899
La -7.1106 -4.3571 2.7056
Tb -6.3061 -3.9179 -0.6083
La -15.8821 -1.8955 0.5712
```



Question: The lowest volume belongs to which entry?
Answer: La4Tb2Er5



Repeat the first record exactly.
VASP calculation (PBE-GGA) on a relaxed La5Tb3Er2 crystal.

## Properties
The volume comes out at 698.1 Å³ per cell. The value obtained for the total magnetization is 0.00 μB per formula unit. Its energy relative to the elements is 157 meV per atom. As for the density of states at the Fermi level: 34.371 states/eV/cell.

Cell and atoms, written as extended XYZ:
```
20
Lattice="9.5979 -2.1489 -2.6667 -3.3931 9.1563 -2.8922 -0.6689 -0.5796 9.1817" Properties=species:S:1:pos:R:3 pbc="T T T"
La 5.6165 3.1041 -3.1446
La 5.7532 3.4952 2.8017
Tb 2.4912 -0.4270 -0.4254
Er -3.1845 8.6336 -0.6432
La 2.0445 5.6529 1.4167
Tb 2.2197 3.3988 4.1126
Tb -0.7001 6.5071 -0.5517
La -0.0806 3.3236 6.7674
Er -0.2284 5.5689 4.1165
La 2.7906 6.5521 -1.9753
Er 5.7644 0.8589 -0.4937
La 2.7453 -0.1244 5.5981
La 3.4914 0.7748 2.2061
La 6.6330 4.3255 -0.4702
La -1.0971 2.1022 4.0930
Tb 3.3162 3.0290 -0.4897
Er 8.7204 -2.2059 4.2660
Tb 6.2360 -0.0794 4.1745
Tb 3.0447 6.8548 4.0482
La -0.2173 2.9325 0.8212
```